Version w
MgBPt3 (PBE-GGA, relaxed); volume = 164.8 Å³ per cell; DOS(E_F) = 2.89 states/eV/cell
1.0
4.070 0.000 0.000
-2.035 3.525 0.000
0.000 0.000 11.490
Mg B Pt
2 2 6
Direct
0.000 0.000 0.000
0.000 0.000 0.500
0.333 0.667 0.250
0.667 0.333 0.750
0.000 0.000 0.250
0.000 0.000 0.750
0.333 0.667 0.079
0.333 0.667 0.421
0.667 0.333 0.579
0.667 0.333 0.921

***

Version x
MgBPt3 (PBE-GGA, relaxed); volume = 99.1 Å³ per cell; DOS(E_F) = 5.40 states/eV/cell
1.0
4.628 0.000 0.000
0.000 4.628 0.000
0.000 0.000 4.628
Mg B Pt
1 1 3
Direct
0.000 0.000 0.000
0.500 0.500 0.500
0.000 0.000 0.500
0.000 0.500 0.000
0.500 0.000 0.000

***

Version y
MgBPt3 (PBE-GGA, relaxed); volume = 144.5 Å³ per cell; DOS(E_F) = 2.33 states/eV/cell
1.0
4.878 -2.834 0.000
4.878 2.834 0.000
-2.028 0.000 5.228
Mg B Pt
2 2 6
Direct
0.190 0.810 0.500
0.810 0.190 0.000
0.062 0.563 0.754
0.563 0.062 0.254
0.180 0.306 0.404
0.306 0.180 0.904
0.328 0.714 0.030
0.685 0.838 0.550
0.714 0.328 0.530
0.838 0.685 0.050

***

Version z
MgBPt3 (PBE-GGA, relaxed); volume = 172.9 Å³ per cell; DOS(E_F) = 3.12 states/eV/cell
1.0
-2.560 2.560 6.592
2.560 -2.560 6.592
2.560 2.560 -6.592
Mg B Pt
2 2 6
Direct
0.175 0.175 0.000
0.825 0.825 0.000
0.500 0.500 0.000
0.750 0.250 0.500
0.068 0.568 0.500
0.123 0.376 0.747
0.432 0.932 0.500
0.624 0.371 0.747
0.624 0.877 0.253
0.629 0.376 0.253

***

version y is favored, and the nearest alternative lies 0.415 eV/atom above it.

***

Version w
MgBPt3 (PBE-GGA, relaxed); volume = 149.7 Å³ per cell; DOS(E_F) = 1.71 states/eV/cell
1.0
4.883 -2.811 0.000
4.883 2.811 0.000
-3.233 0.000 5.454
Mg B Pt
2 2 6
Direct
0.102 0.102 0.318
0.898 0.898 0.682
0.332 0.332 0.993
0.668 0.668 0.007
0.088 0.583 0.265
0.415 0.415 0.734
0.417 0.912 0.735
0.583 0.088 0.265
0.585 0.585 0.266
0.912 0.417 0.735

***

Version x
MgBPt3 (PBE-GGA, relaxed); volume = 330.2 Å³ per cell; DOS(E_F) = 7.02 states/eV/cell
1.0
0.000 5.486 5.486
5.486 0.000 5.486
5.486 5.486 0.000
Mg B Pt
4 4 12
Direct
0.000 0.000 0.000
0.000 0.000 0.500
0.000 0.500 0.000
0.500 0.000 0.000
0.000 0.500 0.500
0.500 0.000 0.500
0.500 0.500 0.000
0.500 0.500 0.500
0.168 0.168 0.582
0.168 0.582 0.168
0.168 0.582 0.582
0.418 0.418 0.832
0.418 0.832 0.418
0.418 0.832 0.832
0.582 0.168 0.168
0.582 0.168 0.582
0.582 0.582 0.168
0.832 0.418 0.418
0.832 0.418 0.832
0.832 0.832 0.418

***

version w is favored, and the nearest alternative lies 0.089 eV/atom above it.

***

Version w
MgBPt3 (PBE-GGA, relaxed); volume = 144.0 Å³ per cell; DOS(E_F) = 2.74 states/eV/cell
1.0
3.963 -3.974 0.000
3.963 3.974 0.000
-0.811 0.000 4.571
Mg B Pt
2 2 6
Direct
0.000 0.000 0.000
0.575 0.425 0.000
0.057 0.405 0.364
0.595 0.943 0.636
0.085 0.498 0.948
0.253 0.120 0.553
0.381 0.619 0.500
0.502 0.915 0.052
0.747 0.253 0.500
0.880 0.747 0.447

***

Version x
MgBPt3 (PBE-GGA, relaxed); volume = 139.0 Å³ per cell; DOS(E_F) = 2.55 states/eV/cell
1.0
4.300 0.000 0.000
-2.150 3.724 0.000
0.000 0.000 8.681
Mg B Pt
2 2 6
Direct
0.333 0.667 0.250
0.667 0.333 0.750
0.000 0.000 0.000
0.000 0.000 0.500
0.000 0.000 0.250
0.000 0.000 0.750
0.333 0.667 0.573
0.333 0.667 0.927
0.667 0.333 0.073
0.667 0.333 0.427

***

version w is favored, and the nearest alternative lies 0.282 eV/atom above it.

***

Version w
MgBPt3 (PBE-GGA, relaxed); volume = 155.9 Å³ per cell; DOS(E_F) = 3.32 states/eV/cell
1.0
6.482 -2.234 0.000
6.482 2.234 0.000
-0.048 0.000 5.383
Mg B Pt
2 2 6
Direct
0.112 0.112 0.150
0.888 0.888 0.850
0.367 0.367 0.464
0.633 0.633 0.536
0.215 0.215 0.615
0.316 0.316 0.090
0.483 0.483 0.744
0.517 0.517 0.256
0.684 0.684 0.910
0.785 0.785 0.385

***

Version x
MgBPt3 (PBE-GGA, relaxed); volume = 301.3 Å³ per cell; DOS(E_F) = 4.63 states/eV/cell
1.0
5.094 -5.492 0.000
5.094 5.492 0.000
-1.382 0.000 5.385
Mg B Pt
4 4 12
Direct
0.008 0.733 0.837
0.267 0.992 0.663
0.733 0.008 0.337
0.992 0.267 0.163
0.249 0.751 0.250
0.459 0.541 0.750
0.541 0.459 0.250
0.751 0.249 0.750
0.016 0.242 0.682
0.199 0.519 0.534
0.242 0.016 0.182
0.277 0.490 0.040
0.481 0.801 0.966
0.490 0.277 0.540
0.510 0.723 0.460
0.519 0.199 0.034
0.723 0.510 0.960
0.758 0.984 0.818
0.801 0.481 0.466
0.984 0.758 0.318

***

Version y
MgBPt3 (PBE-GGA, relaxed); volume = 107.6 Å³ per cell; DOS(E_F) = 1.72 states/eV/cell
1.0
2.885 0.000 0.000
0.000 2.793 6.673
0.000 -2.793 6.673
Mg B Pt
1 1 3
Direct
0.000 0.000 0.000
0.500 0.674 0.674
0.000 0.411 0.939
0.000 0.939 0.411
0.500 0.838 0.838

***

Version z
MgBPt3 (PBE-GGA, relaxed); volume = 147.2 Å³ per cell; DOS(E_F) = 2.95 states/eV/cell
1.0
4.722 -2.829 0.000
4.722 2.829 0.000
-0.463 0.000 5.510
Mg B Pt
2 2 6
Direct
0.179 0.821 0.500
0.821 0.179 0.000
0.048 0.546 0.100
0.546 0.048 0.600
0.159 0.316 0.420
0.316 0.159 0.920
0.324 0.666 0.980
0.666 0.324 0.480
0.668 0.823 0.263
0.823 0.668 0.763

***

version z is favored, and the nearest alternative lies 0.161 eV/atom above it.

***

Version w
MgBPt3 (PBE-GGA, relaxed); volume = 147.8 Å³ per cell; DOS(E_F) = 2.81 states/eV/cell
1.0
5.094 0.000 0.000
0.000 5.597 0.000
-2.149 0.000 5.183
Mg B Pt
2 2 6
Direct
0.021 0.250 0.313
0.979 0.750 0.687
0.330 0.750 0.454
0.670 0.250 0.546
0.063 0.250 0.831
0.490 0.501 0.242
0.490 0.999 0.242
0.510 0.001 0.758
0.510 0.499 0.758
0.937 0.750 0.169

***

Version x
MgBPt3 (PBE-GGA, relaxed); volume = 152.0 Å³ per cell; DOS(E_F) = 3.69 states/eV/cell
1.0
2.724 -5.316 0.000
2.724 5.316 0.000
0.000 0.000 5.246
Mg B Pt
2 2 6
Direct
0.081 0.919 0.750
0.919 0.081 0.250
0.337 0.663 0.250
0.663 0.337 0.750
0.060 0.445 0.750
0.445 0.060 0.250
0.500 0.500 0.000
0.500 0.500 0.500
0.555 0.940 0.750
0.940 0.555 0.250

***

version w is favored, and the nearest alternative lies 0.171 eV/atom above it.

***

Version w
MgB3Pt (PBE-GGA, relaxed); volume = 72.9 Å³ per cell; DOS(E_F) = 3.33 states/eV/cell
1.0
4.178 0.000 0.000
0.000 4.178 0.000
0.000 0.000 4.178
Mg B Pt
1 3 1
Direct
0.000 0.000 0.000
0.000 0.500 0.500
0.500 0.000 0.500
0.500 0.500 0.000
0.500 0.500 0.500

***

Version x
MgB3Pt (PBE-GGA, relaxed); volume = 73.0 Å³ per cell; DOS(E_F) = 4.37 states/eV/cell
1.0
4.179 0.000 0.000
0.000 4.179 0.000
0.000 0.000 4.179
Mg B Pt
1 3 1
Direct
0.000 0.000 0.000
0.000 0.000 0.500
0.000 0.500 0.000
0.500 0.000 0.000
0.500 0.500 0.500

***

version w is favored, and the nearest alternative lies 1.327 eV/atom above it.

***

Version w
MgB2Pt2 (PBE-GGA, relaxed); volume = 126.1 Å³ per cell; DOS(E_F) = 2.83 states/eV/cell
1.0
6.556 0.000 0.000
0.000 6.556 0.000
0.000 0.000 2.934
Mg B Pt
2 4 4
Direct
0.000 0.000 0.000
0.500 0.500 0.000
0.089 0.411 0.000
0.411 0.911 0.000
0.589 0.089 0.000
0.911 0.589 0.000
0.244 0.744 0.500
0.256 0.244 0.500
0.744 0.756 0.500
0.756 0.256 0.500

***

Version x
MgB2Pt2 (PBE-GGA, relaxed); volume = 65.2 Å³ per cell; DOS(E_F) = 2.64 states/eV/cell
1.0
-1.652 1.652 5.970
1.652 -1.652 5.970
1.652 1.652 -5.970
Mg B Pt
1 2 2
Direct
0.000 0.000 0.000
0.250 0.750 0.500
0.750 0.250 0.500
0.366 0.366 0.000
0.634 0.634 0.000

***

version x is favored, and the nearest alternative lies 0.037 eV/atom above it.

***

Version w
Rb2MgB (PBE-GGA, relaxed); volume = 382.5 Å³ per cell; DOS(E_F) = 4.62 states/eV/cell
1.0
-6.474 6.474 2.281
6.474 -6.474 2.281
6.474 6.474 -2.281
Rb Mg B
4 2 2
Direct
0.375 0.069 0.194
0.819 0.625 0.694
0.875 0.181 0.806
0.931 0.125 0.306
0.250 0.750 0.500
0.500 0.500 0.000
0.000 0.000 0.000
0.750 0.250 0.500

***

Version x
Rb2MgB (PBE-GGA, relaxed); volume = 153.8 Å³ per cell; DOS(E_F) = 2.46 states/eV/cell
1.0
0.000 4.253 4.253
4.253 0.000 4.253
4.253 4.253 0.000
Rb Mg B
2 1 1
Direct
0.250 0.250 0.250
0.750 0.750 0.750
0.000 0.000 0.000
0.500 0.500 0.500

***

version w is favored, and the nearest alternative lies 0.466 eV/atom above it.

***

Version w
Mg3ReB (PBE-GGA, relaxed); volume = 87.7 Å³ per cell; DOS(E_F) = 3.67 states/eV/cell
1.0
4.443 0.000 0.000
0.000 4.443 0.000
0.000 0.000 4.443
Mg Re B
3 1 1
Direct
0.000 0.000 0.500
0.000 0.500 0.000
0.500 0.000 0.000
0.500 0.500 0.500
0.000 0.000 0.000

***

Version x
Mg3ReB (PBE-GGA, relaxed); volume = 131.0 Å³ per cell; DOS(E_F) = 4.96 states/eV/cell
1.0
5.079 0.000 0.000
0.000 5.079 0.000
0.000 0.000 5.079
Mg Re B
3 1 1
Direct
0.000 0.000 0.500
0.000 0.500 0.000
0.500 0.000 0.000
0.000 0.000 0.000
0.500 0.500 0.500

***

version w is favored, and the nearest alternative lies 0.865 eV/atom above it.